# NpGaBi (PBE, optimized geometry)
# Calculated formation energy   -2 meV/atom
# Crystal system   orthorhombic
# Energy above the most stable polymorph in this dataset   0.0 meV/atom
data_NpGaBi
_space_group_name_H-M_alt 'C m c m'
_space_group_IT_number 63
_space_group_name_Hall '-C 2c 2'
_cell_length_a 4.652
_cell_length_b 19.200
_cell_length_c 3.457
_cell_angle_alpha 90.00
_cell_angle_beta 90.00
_cell_angle_gamma 90.00
loop_
_atom_site_label
_atom_site_fract_x
_atom_site_fract_y
_atom_site_fract_z
Np1 0.000 0.043 0.250
Ga1 0.000 0.422 0.250
Bi1 0.000 0.187 0.750

---

# BaBeGaAu2 (PBE, optimized geometry)
# Calculated formation energy   -304 meV/atom
# Crystal system   tetragonal
# Energy above the most stable polymorph in this dataset   0.0 meV/atom
data_BaBeGaAu2
_space_group_name_H-M_alt 'P 4/m m m'
_space_group_IT_number 123
_space_group_name_Hall '-P 4 2'
_cell_length_a 4.898
_cell_length_b 4.898
_cell_length_c 4.633
_cell_angle_alpha 90.00
_cell_angle_beta 90.00
_cell_angle_gamma 90.00
loop_
_atom_site_label
_atom_site_fract_x
_atom_site_fract_y
_atom_site_fract_z
Ba1 0.000 0.000 0.000
Be1 0.500 0.500 0.500
Ga1 0.500 0.500 0.000
Au1 0.000 0.500 0.500

---

# LiCu2Pt (PBE, optimized geometry)
# Calculated formation energy   -261 meV/atom
# Crystal system   monoclinic
# Energy above the most stable polymorph in this dataset   15.3 meV/atom
data_LiCu2Pt
_space_group_name_H-M_alt 'C 1 m 1'
_space_group_IT_number 8
_space_group_name_Hall 'C -2y'
_cell_length_a 9.440
_cell_length_b 2.809
_cell_length_c 4.425
_cell_angle_alpha 90.00
_cell_angle_beta 116.60
_cell_angle_gamma 90.00
loop_
_atom_site_label
_atom_site_fract_x
_atom_site_fract_y
_atom_site_fract_z
Li1 0.000 0.000 0.000
Cu1 0.254 0.500 0.392
Cu2 0.496 0.000 0.484
Pt1 0.245 0.000 0.883

---

# La5BiSb4 (PBE, optimized geometry)
# Formation energy from raw total energies   -1.233 eV per atom
# Crystal system   orthorhombic
data_La5BiSb4
_space_group_name_H-M_alt 'I m m m'
_space_group_IT_number 71
_space_group_name_Hall '-I 2 2'
_cell_length_a 4.645
_cell_length_b 6.562
_cell_length_c 23.203
_cell_angle_alpha 90.00
_cell_angle_beta 90.00
_cell_angle_gamma 90.00
loop_
_atom_site_label
_atom_site_fract_x
_atom_site_fract_y
_atom_site_fract_z
La1 0.000 0.000 0.000
La2 0.000 0.000 0.200
La3 0.000 0.000 0.398
Bi1 0.000 0.500 0.000
Sb1 0.000 0.500 0.201
Sb2 0.000 0.500 0.400

---

# Ta2CdCl (PBE, optimized geometry)
# Formation energy from raw total energies   0.255 eV per atom
# Crystal system   trigonal
# Energy above the most stable polymorph in this dataset   321.1 meV/atom
data_Ta2CdCl
_space_group_name_H-M_alt 'R -3 m'
_space_group_IT_number 166
_space_group_name_Hall '-R 3 2"'
_cell_length_a 2.9779
_cell_length_b 2.9779
_cell_length_c 28.1976
_cell_angle_alpha 90.00
_cell_angle_beta 90.00
_cell_angle_gamma 120.00
loop_
_atom_site_label
_atom_site_fract_x
_atom_site_fract_y
_atom_site_fract_z
Ta1 0.0000 0.0000 0.2432
Cd1 0.0000 0.0000 0.0000
Cl1 0.0000 0.0000 0.5000

---

# La2Dy3Er (PBE, optimized geometry)
# Calculated formation energy   29 meV/atom
# Crystal system   triclinic
# Energy above the most stable polymorph in this dataset   0.0 meV/atom
data_La2Dy3Er
_space_group_name_H-M_alt 'P -1'
_space_group_IT_number 2
_space_group_name_Hall '-P 1'
_cell_length_a 6.228
_cell_length_b 6.255
_cell_length_c 10.825
_cell_angle_alpha 73.34
_cell_angle_beta 89.76
_cell_angle_gamma 80.31
loop_
_atom_site_label
_atom_site_fract_x
_atom_site_fract_y
_atom_site_fract_z
La1 0.124 0.251 0.125
La2 0.375 0.750 0.375
Dy1 0.122 0.251 0.459
Dy2 0.372 0.750 0.709
Dy3 0.378 0.750 0.041
Er1 0.128 0.250 0.791

---

# SmCd3Hg4 (PBE, optimized geometry)
# Calculated formation energy   -189 meV/atom
# Crystal system   orthorhombic
data_SmCd3Hg4
_space_group_name_H-M_alt 'P m m a'
_space_group_IT_number 51
_space_group_name_Hall '-P 2a 2a'
_cell_length_a 9.722
_cell_length_b 8.134
_cell_length_c 4.860
_cell_angle_alpha 90.00
_cell_angle_beta 90.00
_cell_angle_gamma 90.00
loop_
_atom_site_label
_atom_site_fract_x
_atom_site_fract_y
_atom_site_fract_z
Sm1 0.000 0.000 0.000
Cd1 0.000 0.500 0.000
Cd2 0.250 0.000 0.499
Cd3 0.250 0.500 0.499
Hg1 0.000 0.259 0.500
Hg2 0.250 0.259 0.999

---

# Sm4Tl2HgAu (PBE, optimized geometry)
# Calculated formation energy   -485 meV/atom
# Crystal system   trigonal
data_Sm4Tl2HgAu
_space_group_name_H-M_alt 'R -3 m'
_space_group_IT_number 166
_space_group_name_Hall '-R 3 2"'
_cell_length_a 5.3865
_cell_length_b 5.3865
_cell_length_c 26.3452
_cell_angle_alpha 90.00
_cell_angle_beta 90.00
_cell_angle_gamma 120.00
loop_
_atom_site_label
_atom_site_fract_x
_atom_site_fract_y
_atom_site_fract_z
Sm1 0.0000 0.0000 0.1210
Sm2 0.0000 0.0000 0.3714
Tl1 0.0000 0.0000 0.2468
Hg1 0.0000 0.0000 0.5000
Au1 0.0000 0.0000 0.0000

---

# Ho2Be3GaAu4 (PBE, optimized geometry)
# Calculated formation energy   -494 meV/atom
# Crystal system   tetragonal
data_Ho2Be3GaAu4
_space_group_name_H-M_alt 'P -4 m 2'
_space_group_IT_number 115
_space_group_name_Hall 'P -4 -2'
_cell_length_a 4.283
_cell_length_b 4.283
_cell_length_c 9.441
_cell_angle_alpha 90.00
_cell_angle_beta 90.00
_cell_angle_gamma 90.00
loop_
_atom_site_label
_atom_site_fract_x
_atom_site_fract_y
_atom_site_fract_z
Ho1 0.000 0.500 0.249
Be1 0.000 0.000 0.000
Be2 0.000 0.500 0.612
Ga1 0.500 0.500 0.000
Au1 0.000 0.000 0.500
Au2 0.000 0.500 0.855
Au3 0.500 0.500 0.500

---

# MgSeO5 (PBE, optimized geometry)
# Formation energy from raw total energies   -0.826 eV per atom
# Crystal system   monoclinic
# Energy above the most stable polymorph in this dataset   0.0 meV/atom
data_MgSeO5
_space_group_name_H-M_alt 'C 1 2/c 1'
_space_group_IT_number 15
_space_group_name_Hall '-C 2yc'
_cell_length_a 6.500
_cell_length_b 8.674
_cell_length_c 8.205
_cell_angle_alpha 90.00
_cell_angle_beta 112.53
_cell_angle_gamma 90.00
loop_
_atom_site_label
_atom_site_fract_x
_atom_site_fract_y
_atom_site_fract_z
Mg1 0.250 0.250 0.000
Se1 0.000 0.056 0.250
O1 0.000 0.286 0.750
O2 0.020 0.163 0.090
O3 0.227 0.060 0.835

---

# ReRu2Au (PBE, optimized geometry)
# Calculated formation energy   300 meV/atom
# Crystal system   tetragonal
# Energy above the most stable polymorph in this dataset   161.4 meV/atom
data_ReRu2Au
_space_group_name_H-M_alt 'P 4 m m'
_space_group_IT_number 99
_space_group_name_Hall 'P 4 -2'
_cell_length_a 2.742
_cell_length_b 2.742
_cell_length_c 8.030
_cell_angle_alpha 90.00
_cell_angle_beta 90.00
_cell_angle_gamma 90.00
loop_
_atom_site_label
_atom_site_fract_x
_atom_site_fract_y
_atom_site_fract_z
Re1 0.000 0.000 0.000
Ru1 0.000 0.000 0.467
Ru2 0.500 0.500 0.239
Au1 0.500 0.500 0.734

---

# PrNd12Y3 (PBE, optimized geometry)
# Calculated formation energy   12 meV/atom
# Crystal system   tetragonal
data_PrNd12Y3
_space_group_name_H-M_alt 'P 4/m m m'
_space_group_IT_number 123
_space_group_name_Hall '-P 4 2'
_cell_length_a 5.182
_cell_length_b 5.182
_cell_length_c 20.688
_cell_angle_alpha 90.00
_cell_angle_beta 90.00
_cell_angle_gamma 90.00
loop_
_atom_site_label
_atom_site_fract_x
_atom_site_fract_y
_atom_site_fract_z
Pr1 0.000 0.000 0.000
Nd1 0.000 0.500 0.127
Nd2 0.000 0.500 0.376
Nd3 0.500 0.500 0.000
Nd4 0.500 0.500 0.252
Nd5 0.500 0.500 0.500
Y1 0.000 0.000 0.251
Y2 0.000 0.000 0.500

---

# MnAl3Ge (PBE, optimized geometry)
# Calculated formation energy   392 meV/atom
# Crystal system   cubic
# Energy above the most stable polymorph in this dataset   0.0 meV/atom
data_MnAl3Ge
_space_group_name_H-M_alt 'P m -3 m'
_space_group_IT_number 221
_space_group_name_Hall '-P 4 2 3'
_cell_length_a 4.556
_cell_length_b 4.556
_cell_length_c 4.556
_cell_angle_alpha 90.00
_cell_angle_beta 90.00
_cell_angle_gamma 90.00
loop_
_atom_site_label
_atom_site_fract_x
_atom_site_fract_y
_atom_site_fract_z
Mn1 0.000 0.000 0.000
Al1 0.000 0.000 0.500
Ge1 0.500 0.500 0.500

---

# YSc2Pt (PBE, optimized geometry)
# Calculated formation energy   -492 meV/atom
# Crystal system   tetragonal
# Energy above the most stable polymorph in this dataset   213.5 meV/atom
data_YSc2Pt
_space_group_name_H-M_alt 'I -4 2 d'
_space_group_IT_number 122
_space_group_name_Hall 'I -4 2bw'
_cell_length_a 8.161
_cell_length_b 8.161
_cell_length_c 6.002
_cell_angle_alpha 90.00
_cell_angle_beta 90.00
_cell_angle_gamma 90.00
loop_
_atom_site_label
_atom_site_fract_x
_atom_site_fract_y
_atom_site_fract_z
Y1 0.000 0.000 0.000
Sc1 0.180 0.250 0.625
Pt1 0.000 0.000 0.500

---

# KLi2Pt (PBE, optimized geometry)
# Calculated formation energy   57 meV/atom
# Crystal system   tetragonal
data_KLi2Pt
_space_group_name_H-M_alt 'I -4 m 2'
_space_group_IT_number 119
_space_group_name_Hall 'I -4 -2'
_cell_length_a 4.383
_cell_length_b 4.383
_cell_length_c 8.822
_cell_angle_alpha 90.00
_cell_angle_beta 90.00
_cell_angle_gamma 90.00
loop_
_atom_site_label
_atom_site_fract_x
_atom_site_fract_y
_atom_site_fract_z
K1 0.000 0.000 0.000
Li1 0.000 0.000 0.500
Li2 0.000 0.500 0.750
Pt1 0.000 0.500 0.250

---

# KZn4F8 (PBE, optimized geometry)
# Formation energy from raw total energies   -2.148 eV per atom
# Crystal system   cubic
data_KZn4F8
_space_group_name_H-M_alt 'F -4 3 m'
_space_group_IT_number 216
_space_group_name_Hall 'F -4 2 3'
_cell_length_a 9.397
_cell_length_b 9.397
_cell_length_c 9.397
_cell_angle_alpha 90.00
_cell_angle_beta 90.00
_cell_angle_gamma 90.00
loop_
_atom_site_label
_atom_site_fract_x
_atom_site_fract_y
_atom_site_fract_z
K1 0.000 0.000 0.000
Zn1 0.123 0.123 0.377
F1 0.104 0.104 0.604
F2 0.150 0.150 0.150

---

# KTa2Br (PBE, optimized geometry)
# Formation energy from raw total energies   0.868 eV per atom
# Crystal system   orthorhombic
# Energy above the most stable polymorph in this dataset   663.4 meV/atom
data_KTa2Br
_space_group_name_H-M_alt 'I m m 2'
_space_group_IT_number 44
_space_group_name_Hall 'I 2 -2'
_cell_length_a 3.072
_cell_length_b 6.881
_cell_length_c 11.304
_cell_angle_alpha 90.00
_cell_angle_beta 90.00
_cell_angle_gamma 90.00
loop_
_atom_site_label
_atom_site_fract_x
_atom_site_fract_y
_atom_site_fract_z
K1 0.000 0.000 0.000
Ta1 0.000 0.000 0.534
Ta2 0.000 0.500 0.848
Br1 0.000 0.500 0.233

---

# CdAg2Sb (PBE, optimized geometry)
# Formation energy from raw total energies   0.053 eV per atom
# Crystal system   orthorhombic
# Energy above the most stable polymorph in this dataset   9.0 meV/atom
data_CdAg2Sb
_space_group_name_H-M_alt 'P m m 2'
_space_group_IT_number 25
_space_group_name_Hall 'P 2 -2'
_cell_length_a 3.307
_cell_length_b 4.254
_cell_length_c 6.065
_cell_angle_alpha 90.00
_cell_angle_beta 90.00
_cell_angle_gamma 90.00
loop_
_atom_site_label
_atom_site_fract_x
_atom_site_fract_y
_atom_site_fract_z
Cd1 0.000 0.000 0.000
Ag1 0.000 0.000 0.531
Ag2 0.500 0.500 0.776
Sb1 0.500 0.500 0.292

---

# Zr3TaCd (PBE, optimized geometry)
# Calculated formation energy   864 meV/atom
# Crystal system   cubic
# Energy above the most stable polymorph in this dataset   0.0 meV/atom
data_Zr3TaCd
_space_group_name_H-M_alt 'P m -3 m'
_space_group_IT_number 221
_space_group_name_Hall '-P 4 2 3'
_cell_length_a 5.149
_cell_length_b 5.149
_cell_length_c 5.149
_cell_angle_alpha 90.00
_cell_angle_beta 90.00
_cell_angle_gamma 90.00
loop_
_atom_site_label
_atom_site_fract_x
_atom_site_fract_y
_atom_site_fract_z
Zr1 0.000 0.000 0.500
Ta1 0.000 0.000 0.000
Cd1 0.500 0.500 0.500

---

# TaNiPt2 (PBE, optimized geometry)
# Calculated formation energy   -259 meV/atom
# Crystal system   trigonal
data_TaNiPt2
_space_group_name_H-M_alt 'R -3 m'
_space_group_IT_number 166
_space_group_name_Hall '-R 3 2"'
_cell_length_a 2.8124
_cell_length_b 2.8124
_cell_length_c 26.5933
_cell_angle_alpha 90.00
_cell_angle_beta 90.00
_cell_angle_gamma 120.00
loop_
_atom_site_label
_atom_site_fract_x
_atom_site_fract_y
_atom_site_fract_z
Ta1 0.0000 0.0000 0.0000
Ni1 0.0000 0.0000 0.5000
Pt1 0.0000 0.0000 0.2472

---

no.,energy (eV/atom)
1,-6.618
2,-3.351
3,-4.298
4,-5.733
5,-6.361
6,-4.675
7,-1.273
8,-3.883
9,-4.141
10,-5.093
11,-8.269
12,-5.075
13,-4.611
14,-6.784
15,-2.684
16,-3.776
17,-5.751
18,-2.632
19,-6.819
20,-7.688